VASP calculation (GGA-PBE) on a relaxed structure of AsPd3.

The structure in POSCAR format:
```
AsPd3
1.0
-1.6386 4.2968 2.2400
1.6386 -4.2968 2.2400
1.6386 4.2968 -2.2400
As Pd
1 3
Direct
0.0000 0.0000 0.0000
0.2850 0.5672 0.7178
0.5583 0.0583 0.5000
0.8494 0.5672 0.2822
```



VASP calculation (GGA-PBE) on a relaxed structure of As4Pd.

The structure in POSCAR format:
```
As4Pd
1.0
5.3632 0.0000 0.0000
0.0000 5.3265 0.0000
-1.4313 0.0000 7.2671
As Pd
8 2
Direct
0.1274 0.1618 0.4278
0.1274 0.3382 0.9278
0.2880 0.6840 0.7526
0.2880 0.8160 0.2526
0.7120 0.1840 0.7474
0.7120 0.3160 0.2474
0.8726 0.6618 0.0722
0.8726 0.8382 0.5722
0.5000 0.0000 0.0000
0.5000 0.5000 0.5000
```

Calculated values
The excess energy over the best structure of this formula in the dataset comes out at 0.000 eV per atom.



VASP calculation (GGA-PBE) on a relaxed structure of As2Pd3.

The structure in POSCAR format:
```
As2Pd3
1.0
1.5387 0.8884 10.0380
-1.5387 0.8884 10.0380
0.0000 -1.7767 10.0380
As Pd
2 3
Direct
0.0988 0.0988 0.0988
0.9012 0.9012 0.9012
0.2957 0.2957 0.2957
0.5000 0.5000 0.5000
0.7043 0.7043 0.7043
```

Calculated values
The excess energy over the best structure of this formula in the dataset comes out at 0.182 eV per atom.



VASP calculation (GGA-PBE) on a relaxed structure of AsPd3.

The structure in POSCAR format:
```
AsPd3
1.0
3.9609 0.0000 0.0000
0.0000 3.9609 0.0000
0.0000 0.0000 3.9859
As Pd
1 3
Direct
0.0000 0.0000 0.0000
0.0000 0.5000 0.4568
0.5000 0.0000 0.4568
0.5000 0.5000 0.9533
```



VASP calculation (GGA-PBE) on a relaxed structure of AsPd5.

The structure in POSCAR format:
```
AsPd5
1.0
2.8016 -3.9219 0.0000
2.8016 3.9219 0.0000
-1.3054 0.0000 8.4821
As Pd
2 10
Direct
0.2270 0.2270 0.2129
0.7730 0.7730 0.7871
0.1840 0.8160 0.0000
0.2030 0.7232 0.3260
0.2565 0.2565 0.5070
0.2768 0.7970 0.6740
0.3544 0.3544 0.8520
0.6456 0.6456 0.1480
0.7232 0.2030 0.3260
0.7435 0.7435 0.4930
0.7970 0.2768 0.6740
0.8160 0.1840 0.0000
```



VASP calculation (GGA-PBE) on a relaxed structure of AsPd4.

The structure in POSCAR format:
```
AsPd4
1.0
5.2416 0.0000 0.0000
0.0000 5.2416 0.0000
0.0000 0.0000 5.7925
As Pd
2 8
Direct
0.0000 0.0000 0.0000
0.5000 0.5000 0.5000
0.1244 0.2653 0.3453
0.2347 0.3756 0.8453
0.2653 0.8756 0.6547
0.3756 0.7653 0.1547
0.6244 0.2347 0.1547
0.7347 0.1244 0.6547
0.7653 0.6244 0.8453
0.8756 0.7347 0.3453
```

Calculated values
The excess energy over the best structure of this formula in the dataset comes out at 0.000 eV per atom.



Number 1: energy of formation -0.269 eV per atom. Number 2: energy of formation -0.163 eV per atom. Number 3: energy of formation -0.170 eV per atom. Number 4: energy of formation -0.174 eV per atom. Number 5: energy of formation -0.261 eV per atom. Number 6: energy of formation -0.285 eV per atom.